[1]
The following is a PBE-GGA calculation of a geometry-optimized ZnSi3H structure, from Alexandria via LeMat-Bulk.

Results
space group	Pm-3m
polymorph energy (0 for the lowest one)	0.8351	eV per atom

```
5
Lattice="4.673 0.000 0.000 0.000 4.673 0.000 0.000 0.000 4.673" Properties=species:S:1:pos:R:3 pbc="T T T"
Zn 0.000 0.000 0.000
Si 0.000 0.000 2.337
Si 0.000 2.337 0.000
Si 2.337 0.000 0.000
H 2.337 2.337 2.337
```

***

[2]
The following is a PBE-GGA calculation of a geometry-optimized Zn2SiH2 structure, from Alexandria via LeMat-Bulk.

Results
space group	I4/mmm

```
5
Lattice="-1.540 1.540 5.767 1.540 -1.540 5.767 1.540 1.540 -5.767" Properties=species:S:1:pos:R:3 pbc="T T T"
Zn 0.000 0.000 1.655
Zn 0.000 0.000 9.879
Si 0.000 0.000 5.767
H 1.540 0.000 2.883
H 0.000 1.540 2.883
```

***

[3]
The following is a PBE-GGA calculation of a geometry-optimized ZnSiH6 structure, from Alexandria via LeMat-Bulk.

Results
space group	C2/m

```
8
Lattice="2.121 -3.943 0.000 2.121 3.943 0.000 -1.063 0.000 4.094" Properties=species:S:1:pos:R:3 pbc="T T T"
Zn 0.000 0.000 0.000
Si 1.590 0.000 2.047
H 0.900 1.153 1.153
H 0.314 0.000 3.029
H 0.900 -1.153 1.153
H 2.279 1.153 2.941
H 2.865 0.000 1.066
H 2.279 -1.153 2.941
```

***

[4]
The following is a PBE-GGA calculation of a geometry-optimized Zn3SiH structure, from Alexandria via LeMat-Bulk.

Results
space group	Pm-3m
polymorph energy (0 for the lowest one)	0.3057	eV per atom

```
5
Lattice="4.763 0.000 0.000 0.000 4.763 0.000 0.000 0.000 4.763" Properties=species:S:1:pos:R:3 pbc="T T T"
Zn 0.000 0.000 2.382
Zn 0.000 2.382 0.000
Zn 2.382 0.000 0.000
Si 0.000 0.000 0.000
H 2.382 2.382 2.382
```

***

[5]
The following is a PBE-GGA calculation of a geometry-optimized ZnSi2H structure, from Alexandria via LeMat-Bulk.

Results
space group	Fm-3m
polymorph energy (0 for the lowest one)	0.1451	eV per atom

```
4
Lattice="0.000 2.943 2.943 2.943 0.000 2.943 2.943 2.943 0.000" Properties=species:S:1:pos:R:3 pbc="T T T"
Zn 0.000 0.000 0.000
Si 1.472 1.472 1.472
Si 4.415 4.415 4.415
H 2.943 2.943 2.943
```

***

[6]
The following is a PBE-GGA calculation of a geometry-optimized ZnSi3H structure, from Alexandria via LeMat-Bulk.

Results
space group	Pm-3m
polymorph energy (0 for the lowest one)	0.0000	eV per atom

```
5
Lattice="3.999 0.000 0.000 0.000 3.999 0.000 0.000 0.000 3.999" Properties=species:S:1:pos:R:3 pbc="T T T"
Zn 0.000 0.000 0.000
Si 0.000 2.000 2.000
Si 2.000 0.000 2.000
Si 2.000 2.000 0.000
H 2.000 2.000 2.000
```

***

Number 1: size of the total moment 0.00 μB per formula unit, final energy -2.7532 eV/atom. Number 2: size of the total moment 0.00 μB per formula unit, final energy -2.4813 eV/atom. Number 3: size of the total moment 0.00 μB per formula unit, final energy -3.1309 eV/atom. Number 4: size of the total moment 0.00 μB per formula unit, final energy -1.8205 eV/atom. Number 5: size of the total moment 0.00 μB per formula unit, final energy -3.2130 eV/atom. Number 6: size of the total moment 0.00 μB per formula unit, final energy -3.5883 eV/atom.